Ac2NiPbO5 | PBE with a Hubbard U | optimized geometry

Cell lengths 7.081, 7.081, 5.772 Å; angles 90.00, 90.00, 90.00 degrees
Atoms (fractional coordinates):
Ac 0.176 0.324 0.000
Ac 0.324 0.824 0.000
Ac 0.676 0.176 0.000
Ac 0.824 0.676 0.000
Ni 0.000 0.500 0.500
Ni 0.500 0.000 0.500
Pb 0.000 0.000 0.500
Pb 0.500 0.500 0.500
O 0.000 0.000 0.000
O 0.134 0.634 0.269
O 0.134 0.634 0.731
O 0.366 0.134 0.269
O 0.366 0.134 0.731
O 0.500 0.500 0.000
O 0.634 0.866 0.269
O 0.634 0.866 0.731
O 0.866 0.366 0.269
O 0.866 0.366 0.731

Its total energy is -6.511 eV per atom. Its total moment is 0.0 μB per formula unit. Its space group is P4/mbm, No. 127.